A plane-wave DFT calculation with PBE was carried out for a geometry-optimized TlAuS2Cl structure.

```
5
Lattice="-1.367 -4.490 -1.376 1.339 -1.747 4.368 -4.833 0.906 1.844" Properties=species:S:1:pos:R:3 pbc="T T T"
Tl -2.430 -2.665 2.418
Au 0.000 0.000 0.000
S 0.670 -0.873 2.184
S -0.684 -2.245 -0.688
Cl -2.417 0.453 0.922
```

Properties
Formation energy without anion corrections (eV/atom): 0.14
Mass density (g/cm³): 6.6
Density of states at the Fermi level (states/eV/f.u.): 5.95
Total energy (eV/atom): -3.01
Energy relative to the lowest polymorph listed for this composition (meV/atom): 0